No. 1
VASP calculation (PBE) on a relaxed Tb2TmTh3S6 crystal. Values from VASP.

Results
space group: No. 12
uncorrected formation energy: -1.897 eV per atom

```
&SYSTEM
  ibrav = 0, nat = 12, ntyp = 4
/
ATOMIC_SPECIES
S 32.06 S.upf
Tb 158.93 Tb.upf
Th 232.04 Th.upf
Tm 168.93 Tm.upf
CELL_PARAMETERS angstrom
3.9187 0.0000 0.0000
0.0000 8.0563 0.0243
-1.9593 -2.5957 8.4127
ATOMIC_POSITIONS angstrom
S 0.0000 5.5763 5.7261
Tb 0.0000 1.8183 2.8118
S 1.9593 -0.1156 2.7109
S 1.9593 3.7483 2.8766
S 0.0000 1.8902 0.0524
Th 1.9593 4.0282 0.0121
S 1.9593 3.5705 8.3846
Tb 1.9593 3.6423 5.6252
S 0.0000 1.7124 5.5604
Th 0.0000 5.8427 2.8368
Tm 1.9593 0.0000 0.0000
Th 1.9593 -0.3820 5.6002
```

=====

No. 2
VASP calculation (PBE) on a relaxed CrPbAu2 crystal. Values from VASP.

Results
energy of formation from the pure elements: 0.8 eV per formula unit
space group: No. 99

```
&SYSTEM
  ibrav = 0, nat = 4, ntyp = 3
/
ATOMIC_SPECIES
Au 196.97 Au.upf
Pb 207.20 Pb.upf
Cr 52.00 Cr.upf
CELL_PARAMETERS angstrom
3.5830 0.0199 0.0000
-0.0194 3.5830 0.0000
0.0000 0.0000 6.3828
ATOMIC_POSITIONS angstrom
Au 0.0000 0.0000 0.1502
Pb 1.7818 1.8015 4.8005
Au 1.7818 1.8015 1.6873
Cr 0.0000 0.0000 2.9361
```

=====

No. 3
VASP calculation (PBE) on a relaxed TiNbB2 crystal. Values from VASP.

Results
energy of formation from the pure elements: -2.0 eV per formula unit
offset from the most stable computed form: 327.9 meV per atom
space group: No. 166

```
&SYSTEM
  ibrav = 0, nat = 4, ntyp = 3
/
ATOMIC_SPECIES
B 10.81 B.upf
Ti 47.87 Ti.upf
Nb 92.91 Nb.upf
CELL_PARAMETERS angstrom
-2.5294 -2.0176 -0.1871
0.3004 -3.0714 0.9900
-2.2336 -0.2777 5.1211
ATOMIC_POSITIONS angstrom
B -1.1219 -1.3357 1.5013
Ti -2.2313 -2.6834 2.9620
B -3.3407 -4.0310 4.4227
Nb 0.0000 0.0000 0.0000
```

=====

No. 4
VASP calculation (PBE) on a relaxed ZrCoNi3 crystal. Values from VASP.

Results
energy of formation from the pure elements: 2.6 eV per formula unit
offset from the most stable computed form: 549.8 meV per atom
space group: No. 221

```
&SYSTEM
  ibrav = 0, nat = 5, ntyp = 3
/
ATOMIC_SPECIES
Zr 91.22 Zr.upf
Co 58.93 Co.upf
Ni 58.69 Ni.upf
CELL_PARAMETERS angstrom
4.2612 0.0000 0.0000
0.0000 4.2612 0.0000
0.0000 0.0000 4.2612
ATOMIC_POSITIONS angstrom
Zr 2.1306 2.1306 2.1306
Co 0.0000 0.0000 0.0000
Ni 2.1306 0.0000 0.0000
Ni 0.0000 2.1306 0.0000
Ni 0.0000 0.0000 2.1306
```

=====

No. 5
VASP calculation (PBE) on a relaxed Zr2CdSb crystal. Values from VASP.

Results
offset from the most stable computed form: 228.7 meV per atom
space group: No. 122
uncorrected formation energy: -0.103 eV per atom

```
&SYSTEM
  ibrav = 0, nat = 8, ntyp = 3
/
ATOMIC_SPECIES
Zr 91.22 Zr.upf
Sb 121.76 Sb.upf
Cd 112.41 Cd.upf
CELL_PARAMETERS angstrom
7.8876 0.0000 0.0000
0.0000 7.8876 0.0000
3.9438 3.9438 3.0858
ATOMIC_POSITIONS angstrom
Zr 9.8594 9.8993 2.3144
Zr 5.9556 1.9719 0.7715
Sb 0.0000 0.0000 0.0000
Zr 1.9320 5.9157 0.7715
Sb 7.8876 3.9438 1.5429
Zr 5.9157 5.8758 2.3144
Cd 3.9438 3.9438 0.0000
Cd 3.9438 7.8876 1.5429
```

=====

No. 6
VASP calculation (PBE) on a relaxed CeErMnRu crystal. Values from VASP.

Results
energy of formation from the pure elements: -0.3 eV per formula unit
space group: No. 216

```
&SYSTEM
  ibrav = 0, nat = 4, ntyp = 4
/
ATOMIC_SPECIES
Mn 54.94 Mn.upf
Ru 101.07 Ru.upf
Ce 140.12 Ce.upf
Er 167.26 Er.upf
CELL_PARAMETERS angstrom
4.8665 0.0000 0.0000
2.4332 4.2145 0.0000
2.4332 1.4048 3.9735
ATOMIC_POSITIONS angstrom
Mn 2.4332 1.4048 0.9934
Ru 7.2997 4.2145 2.9801
Ce 4.8665 2.8097 1.9867
Er 0.0000 0.0000 0.0000
```

=====

No. 7
VASP calculation (PBE) on a relaxed KCoN2 crystal. Values from VASP.

Results
offset from the most stable computed form: 0.0 meV per atom
space group: No. 122
uncorrected formation energy: 0.257 eV per atom

```
&SYSTEM
  ibrav = 0, nat = 8, ntyp = 3
/
ATOMIC_SPECIES
Co 58.93 Co.upf
K 39.10 K.upf
N 14.01 N.upf
CELL_PARAMETERS angstrom
5.5505 0.0000 0.0000
0.0000 5.5505 0.0000
2.7753 2.7753 3.7990
ATOMIC_POSITIONS angstrom
Co 5.5505 2.7753 1.8995
K 2.7753 5.5505 1.8995
Co 0.0000 0.0000 0.0000
K 2.7753 2.7753 0.0000
N 5.0095 1.3876 0.9498
N 6.9381 2.2342 2.8493
N 6.0915 4.1629 0.9498
N 4.1629 3.3163 2.8493
```

=====

No. 8
VASP calculation (PBE) on a relaxed Na2PAu6 crystal. Values from VASP.

Results
energy of formation from the pure elements: -1.6 eV per formula unit
space group: No. 164

```
&SYSTEM
  ibrav = 0, nat = 9, ntyp = 3
/
ATOMIC_SPECIES
Au 196.97 Au.upf
Na 22.99 Na.upf
P 30.97 P.upf
CELL_PARAMETERS angstrom
5.7795 0.0000 0.0000
-2.8897 4.9848 0.4638
0.0000 -0.5729 6.1422
ATOMIC_POSITIONS angstrom
Au -1.3938 3.9486 2.2709
Au 4.2835 0.4633 4.3350
Au 2.8897 2.8678 4.5588
Au 1.3938 3.9486 2.2709
Na 2.8897 1.5806 1.0068
Na 0.0000 2.8313 5.5991
Au 0.0000 1.5441 2.0471
P 0.0000 0.0000 0.0000
Au 1.4960 0.4633 4.3350
```

=====

no.,spin magnetization (Bohr magnetons per cell),energy (eV for the cell shown)
1,0.00,-83.53
2,4.28,-19.04
3,0.00,-33.29
4,3.31,-30.38
5,0.00,-45.09
6,2.49,-29.27
7,0.00,-47.65
8,0.00,-29.32